Compound: Ac2YHg
Source: the Alexandria database
Functional: PBE-GGA
Structure: relaxed

For the density of states at the Fermi level, the calculation gives 1.14 states/eV/atom. The calculation puts the total moment at 0.000 μB per formula unit. The calculation puts the formation enthalpy at 0 K at -198 meV/atom.

The structure in CIF format:
```
data_Ac2YHg
_chemical_formula_sum 'Ac2 Y1 Hg1'
_symmetry_space_group_name_H-M 'P 4/m m m'
_symmetry_Int_Tables_number 123
_symmetry_space_group_name_Hall '-P 4 2'
_cell_length_a 3.975
_cell_length_b 3.975
_cell_length_c 9.198
_cell_angle_alpha 90.00
_cell_angle_beta 90.00
_cell_angle_gamma 90.00
loop_
_atom_site_label
_atom_site_type_symbol
_atom_site_fract_x
_atom_site_fract_y
_atom_site_fract_z
_atom_site_occupancy
Ac1 Ac 0.000 0.000 0.224 1
Y1 Y 0.500 0.500 0.500 1
Hg1 Hg 0.500 0.500 0.000 1
```